(1)
Here is crystalline CrAsBr2 at its relaxed geometry from the Alexandria database. Energies are from PBE-GGA.

Properties
space-group type: F-43m, No. 216
calculated volume: 21.7 Å³ per atom
uncorrected formation energy: 0.586 eV per atom
electronic total energy: -15.27 eV/cell

a b c (Å): 4.9719 4.9719 4.9719
angles (deg): 60.00 60.00 60.00
Site moments in Bohr magnetons follow the coordinates.
Fractional positions:
Cr: 0.7500 0.7500 0.7500  3.62
Br: 0.2500 0.2500 0.2500  -0.01
Br: 0.0000 0.0000 0.0000  -0.14
As: 0.5000 0.5000 0.5000  -0.40

(2)
Here is crystalline CrCuTc2 at its relaxed geometry from the Alexandria database. Energies are from PBE-GGA.

Properties
space-group type: F-43m, No. 216
calculated volume: 13.8 Å³ per atom
electronic total energy: -33.40 eV/cell
DFT formation energy: 1.05 eV/f.u.

a b c (Å): 4.2698 4.2698 4.2698
angles (deg): 60.00 60.00 60.00
Site moments in Bohr magnetons follow the coordinates.
Fractional positions:
Cu: 0.2500 0.2500 0.2500  0.08
Tc: 0.0000 0.0000 0.0000  0.19
Tc: 0.7500 0.7500 0.7500  -0.41
Cr: 0.5000 0.5000 0.5000  2.42

(3)
Here is crystalline NaAgF4 at its relaxed geometry from the Alexandria database. Energies are from PBE-GGA.

Properties
space-group type: I4/mcm, No. 140
calculated volume: 14.2 Å³ per atom
uncorrected formation energy: -1.692 eV per atom
electronic total energy: -43.62 eV/cell

a b c (Å): 5.6481 5.6498 6.6761
angles (deg): 115.04 115.03 90.00
Fractional positions:
Na: 0.2487 0.2485 0.4970
Na: 0.7487 0.7485 0.4970
Ag: 0.9986 0.4985 0.9969
Ag: 0.4986 0.9984 0.9969
F: 0.0495 0.1935 0.7426
F: 0.1935 0.6934 0.7422
F: 0.3037 0.4480 0.2514
F: 0.4476 0.9477 0.2510
F: 0.6935 0.5490 0.7424
F: 0.8037 0.3035 0.2516
F: 0.9478 0.8034 0.2513
F: 0.5496 0.0492 0.7427

(4)
Here is crystalline Pr2Sm4DyEr at its relaxed geometry from the Alexandria database. Energies are from PBE-GGA.

Properties
space-group type: P2/m, No. 10
calculated volume: 33.6 Å³ per atom
electronic total energy: -37.46 eV/cell
DFT formation energy: 0.14 eV/f.u.

a b c (Å): 5.1336 5.1190 11.4558
angles (deg): 63.36 90.00 90.00
Fractional positions:
Sm: 0.5000 0.7502 0.2500
Sm: 0.5000 0.2498 0.7500
Sm: 0.0000 0.7514 0.7488
Sm: 0.0000 0.2486 0.2512
Pr: 0.0000 0.0000 0.0000
Pr: 0.5000 0.0000 0.5000
Dy: 0.5000 0.5000 0.0000
Er: 0.0000 0.5000 0.5000